[1]
The following is a PBE calculation of a relaxed structure of PmSm4Tm3S8, from the Alexandria database.

Geometry as CIF:
```
data_PmSm4Tm3S8
_chemical_formula_sum 'Pm3 Sm12 Tm9 S24'
_cell_length_a 7.8739
_cell_length_b 7.8739
_cell_length_c 19.5162
_cell_angle_alpha 90.00
_cell_angle_beta 90.00
_cell_angle_gamma 120.00
_symmetry_space_group_name_H-M 'R -3 m'
_symmetry_Int_Tables_number 166
_symmetry_space_group_name_Hall '-R 3 2"'
loop_
_atom_site_label
_atom_site_fract_x
_atom_site_fract_y
_atom_site_fract_z
Pm1 0.0000 0.0000 0.0000
Sm1 0.0000 0.0000 0.5000
Sm2 0.0000 0.5000 0.5000
Tm1 0.0000 0.5000 0.0000
S1 0.0000 0.0000 0.2556
S2 0.0087 0.5043 0.2537
```

Summary:
formation energy (no corrections) = -1986.0 meV/atom
total magnetic moment = 0.0 μB per formula unit


[2]
The following is a PBE calculation of a relaxed structure of Ba3HoTl4, from the Alexandria database.

Geometry as CIF:
```
data_Ba3HoTl4
_chemical_formula_sum 'Ba3 Ho1 Tl4'
_cell_length_a 4.107
_cell_length_b 4.107
_cell_length_c 17.053
_cell_angle_alpha 90.00
_cell_angle_beta 90.00
_cell_angle_gamma 90.00
_symmetry_space_group_name_H-M 'P 4/m m m'
_symmetry_Int_Tables_number 123
_symmetry_space_group_name_Hall '-P 4 2'
loop_
_atom_site_label
_atom_site_fract_x
_atom_site_fract_y
_atom_site_fract_z
Ba1 0.000 0.000 0.000
Ba2 0.000 0.000 0.264
Ho1 0.000 0.000 0.500
Tl1 0.500 0.500 0.129
Tl2 0.500 0.500 0.402
```

Summary:
total magnetic moment = 0.0 μB per formula unit
DFT formation energy = -362.9 meV per atom


[3]
The following is a PBE calculation of a relaxed structure of Sr2BeCl, from the Alexandria database.

Geometry as CIF:
```
data_Sr2BeCl
_chemical_formula_sum 'Sr8 Be4 Cl4'
_cell_length_a 7.775
_cell_length_b 7.775
_cell_length_c 7.775
_cell_angle_alpha 90.00
_cell_angle_beta 90.00
_cell_angle_gamma 90.00
_symmetry_space_group_name_H-M 'F m -3 m'
_symmetry_Int_Tables_number 225
_symmetry_space_group_name_Hall '-F 4 2 3'
loop_
_atom_site_label
_atom_site_fract_x
_atom_site_fract_y
_atom_site_fract_z
Sr1 0.250 0.250 0.250
Be1 0.000 0.000 0.000
Cl1 0.000 0.000 0.500
```

Summary:
formation energy (no corrections) = -307.9 meV/atom
total magnetic moment = 1.1 μB per formula unit
relative energy among the computed polymorphs = 272 meV per atom


[4]
The following is a PBE calculation of a relaxed structure of MnAl4Cu2, from the Alexandria database.

Geometry as CIF:
```
data_MnAl4Cu2
_chemical_formula_sum 'Mn2 Al8 Cu4'
_cell_length_a 4.504
_cell_length_b 4.504
_cell_length_c 12.055
_cell_angle_alpha 90.00
_cell_angle_beta 90.00
_cell_angle_gamma 90.00
_symmetry_space_group_name_H-M 'I 4/m m m'
_symmetry_Int_Tables_number 139
_symmetry_space_group_name_Hall '-I 4 2'
loop_
_atom_site_label
_atom_site_fract_x
_atom_site_fract_y
_atom_site_fract_z
Mn1 0.000 0.000 0.000
Al1 0.000 0.000 0.191
Al2 0.000 0.500 0.000
Cu1 0.000 0.000 0.391
```

Summary:
total magnetic moment = 0.0 μB per formula unit
DFT formation energy = 292.3 meV per atom


[5]
The following is a PBE calculation of a relaxed structure of In2OsCl, from the Alexandria database.

Geometry as CIF:
```
data_In2OsCl
_chemical_formula_sum 'In4 Os2 Cl2'
_cell_length_a 3.315
_cell_length_b 5.955
_cell_length_c 8.998
_cell_angle_alpha 90.00
_cell_angle_beta 90.00
_cell_angle_gamma 90.00
_symmetry_space_group_name_H-M 'I m m m'
_symmetry_Int_Tables_number 71
_symmetry_space_group_name_Hall '-I 2 2'
loop_
_atom_site_label
_atom_site_fract_x
_atom_site_fract_y
_atom_site_fract_z
In1 0.000 0.000 0.237
Os1 0.000 0.500 0.500
Cl1 0.000 0.500 0.000
```

Summary:
formation energy (no corrections) = 672.2 meV/atom
total magnetic moment = 1.2 μB per formula unit
relative energy among the computed polymorphs = 648 meV per atom


[6]
The following is a PBE calculation of a relaxed structure of BeNb2SnSe, from the Alexandria database.

Geometry as CIF:
```
data_BeNb2SnSe
_chemical_formula_sum 'Be1 Nb2 Sn1 Se1'
_cell_length_a 4.923
_cell_length_b 4.923
_cell_length_c 3.973
_cell_angle_alpha 90.00
_cell_angle_beta 90.00
_cell_angle_gamma 90.00
_symmetry_space_group_name_H-M 'P 4/m m m'
_symmetry_Int_Tables_number 123
_symmetry_space_group_name_Hall '-P 4 2'
loop_
_atom_site_label
_atom_site_fract_x
_atom_site_fract_y
_atom_site_fract_z
Be1 0.000 0.000 0.000
Nb1 0.000 0.500 0.500
Sn1 0.500 0.500 0.000
Se1 0.000 0.000 0.500
```

Summary:
formation energy (no corrections) = 514.2 meV/atom
total magnetic moment = 0.0 μB per formula unit


[7]
The following is a PBE calculation of a relaxed structure of NaGeH3, from the Alexandria database.

Geometry as CIF:
```
data_NaGeH3
_chemical_formula_sum 'Na1 Ge1 H3'
_cell_length_a 3.860
_cell_length_b 3.860
_cell_length_c 3.860
_cell_angle_alpha 90.00
_cell_angle_beta 90.00
_cell_angle_gamma 90.00
_symmetry_space_group_name_H-M 'P m -3 m'
_symmetry_Int_Tables_number 221
_symmetry_space_group_name_Hall '-P 4 2 3'
loop_
_atom_site_label
_atom_site_fract_x
_atom_site_fract_y
_atom_site_fract_z
Na1 0.000 0.000 0.000
Ge1 0.500 0.500 0.500
H1 0.000 0.000 0.500
```

Summary:
total magnetic moment = 0.0 μB per formula unit
relative energy among the computed polymorphs = 804 meV per atom


[8]
The following is a PBE calculation of a relaxed structure of ZnMoP2Cl, from the Alexandria database.

Geometry as CIF:
```
data_ZnMoP2Cl
_chemical_formula_sum 'Zn1 Mo1 P2 Cl1'
_cell_length_a 4.663
_cell_length_b 4.663
_cell_length_c 5.063
_cell_angle_alpha 90.00
_cell_angle_beta 90.00
_cell_angle_gamma 90.00
_symmetry_space_group_name_H-M 'P 4/m m m'
_symmetry_Int_Tables_number 123
_symmetry_space_group_name_Hall '-P 4 2'
loop_
_atom_site_label
_atom_site_fract_x
_atom_site_fract_y
_atom_site_fract_z
Zn1 0.000 0.000 0.000
Mo1 0.500 0.500 0.500
P1 0.000 0.500 0.500
Cl1 0.500 0.500 0.000
```

Summary:
formation energy (no corrections) = 299.5 meV/atom
total magnetic moment = 0.0 μB per formula unit
relative energy among the computed polymorphs = 0 meV per atom


[9]
The following is a PBE calculation of a relaxed structure of AlCd2, from the Alexandria database.

Geometry as CIF:
```
data_AlCd2
_chemical_formula_sum 'Al4 Cd8'
_cell_length_a 6.174
_cell_length_b 4.353
_cell_length_c 9.295
_cell_angle_alpha 90.00
_cell_angle_beta 90.00
_cell_angle_gamma 90.00
_symmetry_space_group_name_H-M 'P n m a'
_symmetry_Int_Tables_number 62
loop_
_symmetry_equiv_pos_as_xyz
'x,y,z'
'-x,-y,-z'
'-x+1/2,-y,z+1/2'
'x+1/2,y,-z+1/2'
'x+1/2,-y+1/2,-z+1/2'
'-x+1/2,y+1/2,z+1/2'
'-x,y+1/2,-z'
'x,-y+1/2,z'
loop_
_atom_site_label
_atom_site_fract_x
_atom_site_fract_y
_atom_site_fract_z
Al1 0.114 0.250 0.075
Cd1 0.126 0.250 0.414
Cd2 0.131 0.250 0.747
```

Summary:
total magnetic moment = 0.0 μB per formula unit
DFT formation energy = 116.5 meV per atom


[10]
The following is a PBE calculation of a relaxed structure of RbHgPb2F8, from the Alexandria database.

Geometry as CIF:
```
data_RbHgPb2F8
_chemical_formula_sum 'Rb1 Hg1 Pb2 F8'
_cell_length_a 4.223
_cell_length_b 5.956
_cell_length_c 8.169
_cell_angle_alpha 90.00
_cell_angle_beta 90.00
_cell_angle_gamma 90.00
_symmetry_space_group_name_H-M 'P m m m'
_symmetry_Int_Tables_number 47
loop_
_symmetry_equiv_pos_as_xyz
'x,y,z'
'-x,-y,-z'
'-x,-y,z'
'x,y,-z'
'x,-y,-z'
'-x,y,z'
'-x,y,-z'
'x,-y,z'
loop_
_atom_site_label
_atom_site_fract_x
_atom_site_fract_y
_atom_site_fract_z
Rb1 0.000 0.000 0.000
Hg1 0.000 0.000 0.500
Pb1 0.500 0.500 0.254
F1 0.000 0.270 0.281
F2 0.500 0.248 0.500
F3 0.500 0.290 0.000
```

Summary:
formation energy (no corrections) = -2092.8 meV/atom
total magnetic moment = 0.0 μB per formula unit